Record 1
Pm2GaAgTe5: optimized geometry, PBE.

## Properties
Symmetry   Cmc2_1 (36)
M_tot   0.00 μB/f.u.
Final energy   -4.31 eV per atom
DOS(E_F)   0.00 states/eV/f.u.
Formation energy (no corrections)   -0.86 eV/atom
ρ   6.9 g/cm³

```
data_Pm2GaAgTe5
_chemical_formula_sum 'Pm4 Ga2 Ag2 Te10'
_symmetry_space_group_name_H-M 'P 1'
_symmetry_Int_Tables_number 1
_cell_length_a 10.051
_cell_length_b 10.051
_cell_length_c 12.775
_cell_angle_alpha 90.00
_cell_angle_beta 90.00
_cell_angle_gamma 155.48
loop_
_symmetry_equiv_pos_as_xyz
'x,y,z'
loop_
_atom_site_label
_atom_site_fract_x
_atom_site_fract_y
_atom_site_fract_z
Pm1 0.116 0.884 0.500
Pm2 0.129 0.871 0.118
Pm3 0.871 0.129 0.618
Pm4 0.884 0.116 0.000
Ga1 0.426 0.574 0.278
Ga2 0.574 0.426 0.778
Ag1 0.220 0.780 0.836
Ag2 0.780 0.220 0.336
Te1 0.042 0.958 0.894
Te2 0.286 0.714 0.492
Te3 0.313 0.687 0.165
Te4 0.363 0.637 0.813
Te5 0.498 0.502 0.101
Te6 0.502 0.498 0.601
Te7 0.637 0.363 0.313
Te8 0.687 0.313 0.665
Te9 0.714 0.286 0.992
Te10 0.958 0.042 0.394
```



Record 2
PmThGaAg: optimized geometry, PBE.

## Properties
Symmetry   F-43m (216)
M_tot   0.02 μB/f.u.
Final energy   -4.81 eV per atom
DOS(E_F)   5.18 states/eV/f.u.
ρ   9.0 g/cm³
Formation energy from the elements   -114.1 kJ/mol of formula units

```
data_PmThGaAg
_chemical_formula_sum 'Pm1 Th1 Ga1 Ag1'
_symmetry_space_group_name_H-M 'P 1'
_symmetry_Int_Tables_number 1
_cell_length_a 5.257
_cell_length_b 5.257
_cell_length_c 5.257
_cell_angle_alpha 60.00
_cell_angle_beta 60.00
_cell_angle_gamma 60.00
loop_
_symmetry_equiv_pos_as_xyz
'x,y,z'
loop_
_atom_site_label
_atom_site_fract_x
_atom_site_fract_y
_atom_site_fract_z
Pm1 0.000 0.000 0.000
Th1 0.500 0.500 0.500
Ga1 0.250 0.250 0.250
Ag1 0.750 0.750 0.750
```



Record 3
Pm4TlGaAg2: optimized geometry, PBE.

## Properties
Symmetry   R-3m (166)
M_tot   0.66 μB/f.u.
Final energy   -4.14 eV per atom
DOS(E_F)   7.78 states/eV/f.u.
ρ   8.3 g/cm³
Formation energy from the elements   -287.8 kJ/mol of formula units

```
data_Pm4TlGaAg2
_chemical_formula_sum 'Pm4 Tl1 Ga1 Ag2'
_symmetry_space_group_name_H-M 'P 1'
_symmetry_Int_Tables_number 1
_cell_length_a 9.221
_cell_length_b 9.221
_cell_length_c 9.221
_cell_angle_alpha 33.51
_cell_angle_beta 33.51
_cell_angle_gamma 33.51
loop_
_symmetry_equiv_pos_as_xyz
'x,y,z'
loop_
_atom_site_label
_atom_site_fract_x
_atom_site_fract_y
_atom_site_fract_z
Pm1 0.120 0.120 0.120
Pm2 0.371 0.371 0.371
Pm3 0.629 0.629 0.629
Pm4 0.880 0.880 0.880
Tl1 0.500 0.500 0.500
Ga1 0.000 0.000 0.000
Ag1 0.247 0.247 0.247
Ag2 0.753 0.753 0.753
```



Record 4
PmTlGaAg: optimized geometry, PBE.

## Properties
Symmetry   F-43m (216)
M_tot   0.00 μB/f.u.
Final energy   -3.49 eV per atom
DOS(E_F)   1.35 states/eV/f.u.
ρ   9.4 g/cm³
Formation energy from the elements   -94.1 kJ/mol of formula units

```
data_PmTlGaAg
_chemical_formula_sum 'Pm1 Tl1 Ga1 Ag1'
_symmetry_space_group_name_H-M 'P 1'
_symmetry_Int_Tables_number 1
_cell_length_a 5.087
_cell_length_b 5.087
_cell_length_c 5.087
_cell_angle_alpha 60.00
_cell_angle_beta 60.00
_cell_angle_gamma 60.00
loop_
_symmetry_equiv_pos_as_xyz
'x,y,z'
loop_
_atom_site_label
_atom_site_fract_x
_atom_site_fract_y
_atom_site_fract_z
Pm1 0.000 0.000 0.000
Tl1 0.250 0.250 0.250
Ga1 0.750 0.750 0.750
Ag1 0.500 0.500 0.500
```



Record 5
Pm2TmGa2Ag2: optimized geometry, PBE.

## Properties
Symmetry   R-3m (166)
M_tot   0.00 μB/f.u.
Final energy   -4.05 eV per atom
DOS(E_F)   5.48 states/eV/f.u.
ρ   8.1 g/cm³
Formation energy from the elements   -249.8 kJ/mol of formula units

```
data_Pm2TmGa2Ag2
_chemical_formula_sum 'Pm2 Tm1 Ga2 Ag2'
_symmetry_space_group_name_H-M 'P 1'
_symmetry_Int_Tables_number 1
_cell_length_a 9.511
_cell_length_b 9.511
_cell_length_c 9.511
_cell_angle_alpha 28.02
_cell_angle_beta 28.02
_cell_angle_gamma 28.02
loop_
_symmetry_equiv_pos_as_xyz
'x,y,z'
loop_
_atom_site_label
_atom_site_fract_x
_atom_site_fract_y
_atom_site_fract_z
Pm1 0.124 0.124 0.124
Pm2 0.876 0.876 0.876
Tm1 0.000 0.000 0.000
Ga1 0.264 0.264 0.264
Ga2 0.736 0.736 0.736
Ag1 0.390 0.390 0.390
Ag2 0.610 0.610 0.610
```



Record 6
PmTmGaAg: optimized geometry, PBE.

## Properties
Symmetry   F-43m (216)
M_tot   0.00 μB/f.u.
Final energy   -4.21 eV per atom
DOS(E_F)   3.26 states/eV/f.u.
ρ   8.5 g/cm³
Formation energy from the elements   -168.5 kJ/mol of formula units

```
data_PmTmGaAg
_chemical_formula_sum 'Pm1 Tm1 Ga1 Ag1'
_symmetry_space_group_name_H-M 'P 1'
_symmetry_Int_Tables_number 1
_cell_length_a 5.150
_cell_length_b 5.150
_cell_length_c 5.150
_cell_angle_alpha 60.00
_cell_angle_beta 60.00
_cell_angle_gamma 60.00
loop_
_symmetry_equiv_pos_as_xyz
'x,y,z'
loop_
_atom_site_label
_atom_site_fract_x
_atom_site_fract_y
_atom_site_fract_z
Pm1 0.000 0.000 0.000
Tm1 0.500 0.500 0.500
Ga1 0.750 0.750 0.750
Ag1 0.250 0.250 0.250
```